[1]
Compound: Li5Pu3O12
Source: the Alexandria database
Functional: PBE-GGA
Structure: optimized geometry

Cell lengths 11.9649, 11.9649, 11.9649 Å; angles 90.00, 90.00, 90.00 degrees
Closest atoms and distances in Å follow each position.
Space group Ia-3d (No. 230)
Inequivalent atoms, fractional coordinates:
Li 0.0000 0.0000 0.0000 (multiplicity 16)  6 O 2.05
Li 0.0000 0.2500 0.3750 (multiplicity 24)  4 O 1.86
Pu 0.0000 0.2500 0.1250 (multiplicity 24)  8 O 2.17-2.27
O 0.0171 0.0639 0.6577 (multiplicity 96)  2 Li 1.86-2.05

Crystal system = cubic

[2]
Compound: Tb4PmDy2
Source: the Alexandria database
Functional: PBE-GGA
Structure: optimized geometry

Cell lengths 16.7387, 3.5352, 8.7691 Å; angles 90.00, 119.36, 90.00 degrees
Closest atoms and distances in Å follow each position.
Space group C2/m (No. 12)
Inequivalent atoms, fractional coordinates:
Tb 0.1412 0.0000 0.3346 (multiplicity 4)  7 Tb 3.54-3.80, 4 Dy 3.60-3.61, 2 Pm 3.76
Tb 0.2050 0.0000 0.7940 (multiplicity 4)  3 Dy 3.33-3.50, 7 Tb 3.54-3.72, 2 Pm 3.59
Pm 0.0000 0.5000 0.5000 (multiplicity 2)  2 Dy 3.35, 2 Pm 3.54, 4 Tb 3.59
Dy 0.0704 0.5000 0.9299 (multiplicity 4)  1 Dy 3.15, 3 Tb 3.33-3.50, 1 Pm 3.35

DFT formation energy = 34.6 meV per atom
Crystal system = monoclinic

[3]
Compound: NbNiN3
Source: the Alexandria database
Functional: PBE-GGA
Structure: optimized geometry

Cell lengths 4.0414, 4.0414, 4.0414 Å; angles 90.00, 90.00, 90.00 degrees
Closest atoms and distances in Å follow each position.
Space group Pm-3m (No. 221)
Inequivalent atoms, fractional coordinates:
Nb 0.0000 0.0000 0.0000 (multiplicity 1)  6 N 2.02
Ni 0.5000 0.5000 0.5000 (multiplicity 1)  12 N 2.86
N 0.0000 0.0000 0.5000 (multiplicity 3)  2 Nb 2.02

Crystal system = cubic

[4]
Compound: Na5B7C3
Source: the Alexandria database
Functional: PBE-GGA
Structure: optimized geometry

Cell lengths 4.9363, 7.6310, 9.0998 Å; angles 107.79, 90.84, 106.24 degrees
Closest atoms and distances in Å follow each position.
Space group P-1 (No. 2)
Inequivalent atoms, fractional coordinates:
Na 0.0000 0.0000 0.0000 (multiplicity 1)  6 B 2.66-2.72, 6 C 2.68-2.71, 6 Na 2.83-2.92
Na 0.0957 0.1973 0.4981 (multiplicity 2)  8 B 2.65-2.92, 4 C 2.67-2.83, 6 Na 2.81-2.95
Na 0.1959 0.3997 0.0022 (multiplicity 2)  10 B 2.64-2.92, 2 C 2.70-2.83, 5 Na 2.79-2.94
Na 0.3004 0.5996 0.4983 (multiplicity 2)  9 B 2.63-2.82, 3 C 2.72-2.76, 4 Na 2.81-2.94
Na 0.4043 0.8007 0.0031 (multiplicity 2)  4 C 2.65-2.74, 8 B 2.67-2.82, 6 Na 2.81-2.94
Na 0.5000 0.0000 0.5000 (multiplicity 1)  4 C 2.67-2.78, 8 B 2.71-2.77, 6 Na 2.82-2.93
B 0.0309 0.7144 0.7514 (multiplicity 2)  2 C 1.58-1.64
B 0.0879 0.4864 0.7488 (multiplicity 2)  3 B 1.69-1.83
B 0.1811 0.7074 0.2514 (multiplicity 2)  1 C 1.64, 2 B 1.69-1.78
B 0.1939 0.0901 0.7505 (multiplicity 2)  2 C 1.63, 1 B 1.73
B 0.3876 0.0984 0.2487 (multiplicity 2)  3 C 1.60-1.65
B 0.4521 0.5252 0.7496 (multiplicity 2)  1 C 1.55
B 0.4583 0.2929 0.7487 (multiplicity 2)  3 B 1.73-1.78
C 0.1375 0.9124 0.2497 (multiplicity 2)  3 B 1.60-1.64
C 0.2786 0.8984 0.7523 (multiplicity 2)  3 B 1.58-1.64
C 0.3047 0.2939 0.2487 (multiplicity 2)  3 B 1.55-1.65

DFT formation energy = 136.9 meV per atom
Crystal system = triclinic

[5]
Compound: SbTeMo2
Source: the Alexandria database
Functional: PBE-GGA
Structure: optimized geometry

Cell lengths 9.5807, 3.3646, 4.9427 Å; angles 90.00, 107.79, 90.00 degrees
Closest atoms and distances in Å follow each position.
Space group Cm (No. 8)
Inequivalent atoms, fractional coordinates:
Sb 0.0000 0.0000 0.0000 (multiplicity 2)  7 Mo 2.72-3.02
Te 0.2267 0.0000 0.6409 (multiplicity 2)  5 Mo 2.75-2.89
Mo 0.2423 0.5000 0.1241 (multiplicity 2)  3 Sb 2.72-2.78, 2 Te 2.89, 2 Mo 2.98
Mo 0.4817 0.0000 0.4961 (multiplicity 2)  3 Te 2.75-2.80, 4 Sb 2.97-3.02, 2 Mo 2.98

Crystal system = monoclinic

[6]
Compound: Pr6Ru2SeI3
Source: the Alexandria database
Functional: PBE-GGA
Structure: optimized geometry

Cell lengths 7.4213, 12.8411, 8.4550 Å; angles 90.00, 106.99, 90.00 degrees
Closest atoms and distances in Å follow each position.
Space group C2/m (No. 12)
Inequivalent atoms, fractional coordinates:
Pr 0.2071 0.0000 0.1890 (multiplicity 4)  2 Ru 2.84, 1 Se 3.05
Pr 0.2403 0.3222 0.1896 (multiplicity 8)  2 Ru 2.84-2.85, 1 Se 3.05
Ru 0.0000 0.1670 0.0000 (multiplicity 4)  6 Pr 2.84-2.85
Se 0.0000 0.5000 0.0000 (multiplicity 2)  6 Pr 3.05
I 0.0000 0.0000 0.5000 (multiplicity 2)  6 Pr 3.41-3.59
I 0.0000 0.3363 0.5000 (multiplicity 4)  6 Pr 3.43-3.58

Crystal system = monoclinic

[7]
Compound: HgTe2N2
Source: the Alexandria database
Functional: PBE-GGA
Structure: optimized geometry

Cell lengths 4.8423, 4.8423, 4.0306 Å; angles 90.00, 90.00, 90.00 degrees
Closest atoms and distances in Å follow each position.
Space group P4/mmm (No. 123)
Inequivalent atoms, fractional coordinates:
Hg 0.0000 0.0000 0.0000 (multiplicity 1)  8 Te 3.15, 4 N 3.42
Te 0.0000 0.5000 0.5000 (multiplicity 2)  2 N 2.42
N 0.5000 0.5000 0.0000 (multiplicity 1)  2 N 2.02
N 0.5000 0.5000 0.5000 (multiplicity 1)  2 N 2.02

Crystal system = tetragonal

[8]
Compound: CsPrHg2S4
Source: the Alexandria database
Functional: PBE-GGA
Structure: optimized geometry

Cell lengths 7.0090, 8.3474, 9.2988 Å; angles 90.00, 90.00, 90.00 degrees
Closest atoms and distances in Å follow each position.
Space group I222 (No. 23)
Inequivalent atoms, fractional coordinates:
Cs 0.0000 0.0000 0.0000 (multiplicity 2)  8 S 3.69-3.70
Pr 0.0000 0.0000 0.5000 (multiplicity 2)  4 S 2.76
Hg 0.0000 0.5000 0.1798 (multiplicity 4)  2 S 2.37
S 0.2341 0.1750 0.3204 (multiplicity 8)  1 Hg 2.37

Crystal system = orthorhombic

[9]
Compound: BeCo2WI
Source: the Alexandria database
Functional: PBE-GGA
Structure: optimized geometry

Cell lengths 4.0542, 4.0542, 4.3689 Å; angles 90.00, 90.00, 90.00 degrees
Closest atoms and distances in Å follow each position.
Space group P4/mmm (No. 123)
Inequivalent atoms, fractional coordinates:
Be 0.0000 0.0000 0.0000 (multiplicity 1)  4 Co 2.03, 2 W 2.18
Co 0.0000 0.5000 0.0000 (multiplicity 2)  2 Be 2.03
W 0.0000 0.0000 0.5000 (multiplicity 1)  2 Be 2.18
I 0.5000 0.5000 0.5000 (multiplicity 1)  4 W 2.87, 8 Co 2.98

Crystal system = tetragonal

[10]
Compound: SiHgPb2Au
Source: the Alexandria database
Functional: PBE-GGA
Structure: optimized geometry

Cell lengths 5.5479, 5.5479, 5.2151 Å; angles 90.00, 90.00, 90.00 degrees
Closest atoms and distances in Å follow each position.
Space group P4/mmm (No. 123)
Inequivalent atoms, fractional coordinates:
Si 0.0000 0.0000 0.0000 (multiplicity 1)  8 Pb 3.81, 4 Hg 3.92
Hg 0.5000 0.5000 0.0000 (multiplicity 1)  2 Au 2.61
Pb 0.0000 0.5000 0.5000 (multiplicity 2)  2 Au 2.77
Au 0.5000 0.5000 0.5000 (multiplicity 1)  2 Hg 2.61, 4 Pb 2.77

Crystal system = tetragonal

[11]
Compound: SrLaNiAu2
Source: the Alexandria database
Functional: PBE-GGA
Structure: optimized geometry

Cell lengths 5.2057, 5.2057, 4.7629 Å; angles 90.00, 90.00, 90.00 degrees
Closest atoms and distances in Å follow each position.
Space group P4/mmm (No. 123)
Inequivalent atoms, fractional coordinates:
Sr 0.0000 0.0000 0.0000 (multiplicity 1)  8 Au 3.53, 4 La 3.68
La 0.5000 0.5000 0.0000 (multiplicity 1)  2 Ni 2.38
Ni 0.5000 0.5000 0.5000 (multiplicity 1)  2 La 2.38, 4 Au 2.60
Au 0.0000 0.5000 0.5000 (multiplicity 2)  2 Ni 2.60

DFT formation energy = -377.3 meV per atom
Crystal system = tetragonal

[12]
Compound: Er6C3Se2
Source: the Alexandria database
Functional: PBE-GGA
Structure: optimized geometry

Cell lengths 6.3458, 10.9910, 6.8912 Å; angles 90.00, 107.98, 90.00 degrees
Closest atoms and distances in Å follow each position.
Space group C2/m (No. 12)
Inequivalent atoms, fractional coordinates:
Er 0.2314 0.1685 0.1994 (multiplicity 8)  3 C 2.45-2.50
Er 0.2356 0.5000 0.1954 (multiplicity 4)  3 C 2.45-2.50
C 0.0000 0.0000 0.0000 (multiplicity 2)  6 Er 2.45-2.50
C 0.0000 0.3310 0.0000 (multiplicity 4)  6 Er 2.45-2.50
Se 0.0000 0.1658 0.5000 (multiplicity 4)  6 Er 2.89

Crystal system = monoclinic

Taking the records one at a time from the top gives N(E_F) values of 113.17; 20.83; 6.62; 4.82; 6.42; 20.44; 3.93; 0.00; 6.31; 3.72; 3.81; 6.29 states/eV/cell.
Taking the records one at a time from the top gives uncorrected energy values of -7.711; -4.605; -7.096; -5.264; -6.961; -5.535; -3.101; -3.744; -5.392; -2.639; -4.166; -6.595 eV per atom.